# 1
A relaxed structure of PmSm6Dy2Ho, computed with PBE.

## Properties
DFT total energy	-0.1679	hartree per atom
space-group type	No. 15

Geometry as POSCAR:
```
PmSm6Dy2Ho
1.0
9.196 -1.982 -2.057
0.804 8.628 -2.020
0.804 -2.338 8.547
Pm Sm Dy Ho
2 12 4 2
direct
0.250 0.974 0.026
0.750 0.026 0.974
0.055 0.120 0.756
0.445 0.244 0.880
0.945 0.880 0.244
0.555 0.756 0.120
0.315 0.987 0.435
0.185 0.565 0.013
0.685 0.013 0.565
0.815 0.435 0.987
0.119 0.708 0.490
0.381 0.510 0.292
0.881 0.292 0.510
0.619 0.490 0.708
0.454 0.799 0.698
0.046 0.302 0.201
0.546 0.201 0.302
0.954 0.698 0.799
0.250 0.410 0.590
0.750 0.590 0.410
```

# 2
A relaxed structure of Ti2ZnH, computed with PBE.

## Properties
polymorph energy (0 for the lowest one)	104	meV per atom
space-group type	No. 160

Geometry as POSCAR:
```
Ti2ZnH
1.0
2.911 0.000 0.000
1.456 2.521 0.000
1.456 0.840 6.989
Ti Zn H
2 1 1
direct
0.058 0.058 0.826
0.276 0.276 0.173
0.500 0.500 0.500
0.666 0.666 0.001
```

# 3
A relaxed structure of Sm2Tm8Hg, computed with PBE.

## Properties
DFT total energy	-0.1517	hartree per atom
space-group type	No. 12

Geometry as POSCAR:
```
Sm2Tm8Hg
1.0
-5.128 0.933 -1.456
0.014 -6.159 -3.997
-0.177 -1.813 9.519
Sm Tm Hg
2 8 1
direct
0.808 0.308 0.615
0.192 0.692 0.385
0.365 0.603 0.730
0.636 0.875 0.271
0.816 0.815 0.631
0.000 0.253 0.000
0.184 0.185 0.369
0.364 0.125 0.729
0.635 0.397 0.270
0.000 0.747 0.000
0.500 0.000 0.000
```

# 4
A relaxed structure of YCrPt3, computed with PBE.

## Properties
polymorph energy (0 for the lowest one)	0	meV per atom
space-group type	No. 221

Geometry as POSCAR:
```
YCrPt3
1.0
4.658 0.000 0.000
0.000 4.658 0.000
0.000 0.000 4.658
Y Cr Pt
1 1 3
direct
0.500 0.500 0.500
0.000 0.000 0.000
0.000 0.500 0.000
0.000 0.000 0.500
0.500 0.000 0.000
```

# 5
A relaxed structure of LaCo9B4, computed with PBE.

## Properties
DFT total energy	-0.2572	hartree per atom
space-group type	No. 140

Geometry as POSCAR:
```
LaCo9B4
1.0
-2.540 7.047 -0.178
-6.530 -2.423 -2.761
2.650 -2.866 6.412
La Co B
2 18 8
direct
0.750 0.750 0.500
0.250 0.250 0.500
0.194 0.084 0.000
0.806 0.916 0.000
0.694 0.416 0.000
0.306 0.584 0.000
0.416 0.306 0.000
0.584 0.694 0.000
0.084 0.806 0.000
0.916 0.194 0.000
0.000 0.500 0.000
0.500 0.000 0.000
0.817 0.317 0.339
0.522 0.022 0.339
0.978 0.183 0.661
0.683 0.478 0.661
0.183 0.683 0.661
0.478 0.978 0.661
0.317 0.522 0.339
0.022 0.817 0.339
0.289 0.789 0.290
0.001 0.501 0.290
0.499 0.711 0.710
0.211 0.999 0.710
0.711 0.211 0.710
0.999 0.499 0.710
0.789 0.001 0.290
0.501 0.289 0.290
```

# 6
A relaxed structure of Dy6Y3Ho, computed with PBE.

## Properties
polymorph energy (0 for the lowest one)	11	meV per atom
space-group type	No. 36

Geometry as POSCAR:
```
Dy6Y3Ho
1.0
-2.625 5.432 1.228
-5.414 -4.521 8.425
9.923 4.423 1.647
Dy Y Ho
12 6 2
direct
0.032 0.711 0.618
0.532 0.618 0.711
0.363 0.537 0.958
0.863 0.958 0.537
0.426 0.953 0.047
0.639 0.282 0.718
0.139 0.718 0.282
0.926 0.047 0.953
0.363 0.042 0.463
0.863 0.463 0.042
0.032 0.382 0.289
0.532 0.289 0.382
0.459 0.939 0.721
0.959 0.721 0.939
0.069 0.390 0.610
0.569 0.610 0.390
0.959 0.061 0.279
0.459 0.279 0.061
0.143 0.207 0.793
0.643 0.793 0.207
```

# 7
A relaxed structure of CoMoPt3, computed with PBE.

## Properties
polymorph energy (0 for the lowest one)	0	meV per atom
space-group type	No. 221

Geometry as POSCAR:
```
CoMoPt3
1.0
4.489 0.000 0.000
0.000 4.489 0.000
0.000 0.000 4.489
Mo Co Pt
1 1 3
direct
0.500 0.500 0.500
0.000 0.000 0.000
0.000 0.500 0.000
0.000 0.000 0.500
0.500 0.000 0.000
```

# 8
A relaxed structure of RbCdInSe3, computed with PBE.

## Properties
raw formation energy	-0.73	eV per atom
space-group type	No. 11

Geometry as POSCAR:
```
RbCdInSe3
1.0
4.189 0.000 0.000
0.000 8.946 -0.622
0.000 -3.169 10.382
Rb Cd In Se
2 2 2 6
direct
0.250 0.234 0.238
0.750 0.766 0.762
0.250 0.655 0.081
0.750 0.345 0.919
0.250 0.153 0.646
0.750 0.847 0.354
0.750 0.890 0.129
0.250 0.110 0.871
0.250 0.814 0.493
0.750 0.186 0.507
0.750 0.510 0.185
0.250 0.490 0.815
```

# 9
A relaxed structure of La2Nd12Tm, computed with PBE.

## Properties
DFT total energy	-0.1642	hartree per atom
space-group type	No. 125

Geometry as POSCAR:
```
La2Nd12Tm
1.0
-6.615 -0.316 0.523
0.077 -6.072 -2.693
2.329 -10.277 23.243
La Nd Tm
4 24 2
direct
0.500 0.000 0.264
0.000 0.500 0.264
0.000 0.500 0.736
0.500 0.000 0.736
0.500 0.500 0.787
0.000 0.000 0.787
0.812 0.688 0.889
0.312 0.812 0.889
0.000 0.000 0.337
0.188 0.688 0.111
0.832 0.332 0.562
0.500 0.500 0.337
0.188 0.312 0.889
0.688 0.812 0.111
0.332 0.168 0.562
0.668 0.168 0.438
0.000 0.000 0.663
0.168 0.332 0.438
0.312 0.188 0.111
0.832 0.668 0.438
0.668 0.832 0.562
0.000 0.000 0.213
0.168 0.668 0.562
0.500 0.500 0.663
0.688 0.188 0.889
0.500 0.500 0.213
0.332 0.832 0.438
0.812 0.312 0.111
0.500 0.000 0.000
0.000 0.500 0.000
```

# 10
A relaxed structure of Na3SnAs, computed with PBE.

## Properties
polymorph energy (0 for the lowest one)	289	meV per atom
space-group type	No. 221

Geometry as POSCAR:
```
Na3SnAs
1.0
5.477 0.000 0.000
0.000 5.477 0.000
0.000 0.000 5.477
Na As Sn
3 1 1
direct
0.000 0.500 0.000
0.000 0.000 0.500
0.500 0.000 0.000
0.000 0.000 0.000
0.500 0.500 0.500
```

# 11
A relaxed structure of Ac2CdBi3Pd6, computed with PBE.

## Properties
DFT total energy	-0.1710	hartree per atom
space-group type	No. 123

Geometry as POSCAR:
```
Ac2CdBi3Pd6
1.0
4.384 0.000 0.000
0.000 4.384 0.000
0.000 0.000 17.001
Ac Cd Bi Pd
2 1 3 6
direct
0.500 0.500 0.201
0.500 0.500 0.799
0.500 0.500 0.500
0.000 0.000 0.313
0.000 0.000 0.687
0.000 0.000 0.000
0.000 0.500 0.596
0.500 0.000 0.404
0.500 0.000 0.596
0.000 0.000 0.153
0.000 0.500 0.404
0.000 0.000 0.847
```

# 12
A relaxed structure of Ac12In5Ga2, computed with PBE.

## Properties
DFT total energy	-0.1392	hartree per atom
space-group type	No. 12

Geometry as POSCAR:
```
Ac12In5Ga2
1.0
8.007 0.000 0.000
-4.003 9.217 0.703
0.000 -2.484 10.371
Ac In Ga
12 5 2
direct
0.973 0.946 0.171
0.078 0.659 0.889
0.582 0.659 0.889
0.097 0.702 0.418
0.605 0.702 0.418
0.485 0.970 0.705
0.515 0.030 0.295
0.903 0.298 0.582
0.395 0.298 0.582
0.922 0.341 0.111
0.418 0.341 0.111
0.027 0.054 0.829
0.298 0.596 0.635
0.337 0.674 0.148
0.000 0.000 0.500
0.663 0.326 0.852
0.702 0.404 0.365
0.662 0.000 0.000
0.338 0.000 0.000
```